DFT (GGA+U) results for crystalline Li2MnCoO4 at its relaxed geometry.

Properties
Volume in Å³ per atom: 9.3
Energy in Ha/atom: -0.224
Size of the total moment in μB per atom: 0.750

Cell and atoms, written as CIF:
```
data_Li2MnCoO4
_chemical_formula_sum 'Li2 Mn1 Co1 O4'
_space_group_name_H-M_alt 'P -1'
_space_group_IT_number 2
_space_group_name_Hall '-P 1'
_cell_length_a 3.044
_cell_length_b 5.031
_cell_length_c 5.088
_cell_angle_alpha 100.32
_cell_angle_beta 102.78
_cell_angle_gamma 94.54
loop_
_atom_site_label
_atom_site_type_symbol
_atom_site_fract_x
_atom_site_fract_y
_atom_site_fract_z
Li1 Li 0.247 0.245 0.492
Mn1 Mn 0.000 0.500 0.000
Co1 Co 0.500 0.000 0.000
O1 O 0.139 0.868 0.227
O2 O 0.356 0.642 0.768
```